Entry 1:
# InP2CO

A geometry-optimized InP2CO structure (PBE, the Alexandria database).

Structure (POSCAR):
```
InP2CO
1.0
5.102 0.000 0.000
0.000 5.102 0.000
0.000 0.000 3.940
P C O In
2 1 1 1
Cartesian
0.000 2.551 0.000
2.551 0.000 0.000
2.551 2.551 1.970
0.000 0.000 1.970
0.000 0.000 0.000
```

Summary:
E_form (uncorrected) = 2005 meV/atom
calculated total energy = -17.71 eV per cell
E above lowest polymorph = 1043.0 meV per atom

---

Entry 2:
# YPuGa2

A geometry-optimized YPuGa2 structure (PBE, the Alexandria database).

Structure (POSCAR):
```
YPuGa2
1.0
-4.712 -1.831 0.355
-2.364 -1.731 -4.134
-0.835 -4.968 -0.548
Ga Y Pu
2 1 1
Cartesian
-5.933 -6.398 -3.245
-1.978 -2.133 -1.082
-3.956 -4.265 -2.164
0.000 0.000 0.000
```

Summary:
calculated total energy = -28.53 eV per cell
E above lowest polymorph = 0.0 meV per atom
E_form = -40 kJ/mol of atoms

---

Entry 3:
# Pm2Pr2Se2S3

A geometry-optimized Pm2Pr2Se2S3 structure (PBE, the Alexandria database).

Structure (POSCAR):
```
Pm2Pr2Se2S3
1.0
5.537 0.000 0.000
0.000 5.537 0.000
-2.769 -2.769 7.539
Pm Se S Pr
2 2 3 2
Cartesian
0.000 2.769 0.000
2.769 0.000 0.000
0.000 0.000 6.010
2.769 2.769 1.528
0.000 2.769 3.769
0.000 0.000 0.000
2.769 0.000 3.769
2.769 2.769 4.480
0.000 0.000 3.059
```

Summary:
E_form (uncorrected) = -1721 meV/atom
calculated total energy = -53.90 eV per cell

---

Entry 4:
# GaAgH2

A geometry-optimized GaAgH2 structure (PBE, the Alexandria database).

Structure (POSCAR):
```
GaAgH2
1.0
-0.816 -0.993 3.821
-3.051 -2.503 0.825
0.756 -3.735 1.317
H Ag Ga
2 1 1
Cartesian
-2.334 -5.423 4.472
-0.778 -1.808 1.491
-1.556 -3.615 2.982
0.000 0.000 0.000
```

Summary:
calculated total energy = -9.76 eV per cell
E above lowest polymorph = 339.0 meV per atom

---

Record-wise DOS at the Fermi energy values, in states/eV/atom: 0.938, 1.857, 0.551, 0.282